1.
This record from Alexandria describes a PBEsol-optimized structure of Zr6Fe23. The functional is SCAN. Values from VASP.

Symmetry: Fm-3m (225)
DFT total energy, eV per cell: -603.7
E_form, eV per atom: -0.086

Cell and atoms, written as Quantum ESPRESSO input:
```
&SYSTEM
  ibrav = 0, nat = 29, ntyp = 2
/
ATOMIC_SPECIES
Zr 91.22 Zr.upf
Fe 55.84 Fe.upf
ATOMIC_POSITIONS crystal
Zr 0.207 0.207 0.793
Zr 0.207 0.793 0.207
Zr 0.207 0.793 0.793
Zr 0.793 0.207 0.207
Zr 0.793 0.207 0.793
Zr 0.793 0.793 0.207
Fe 0.000 0.000 0.500
Fe 0.000 0.500 0.000
Fe 0.000 0.500 0.500
Fe 0.136 0.621 0.621
Fe 0.177 0.177 0.177
Fe 0.177 0.177 0.468
Fe 0.177 0.468 0.177
Fe 0.379 0.379 0.379
Fe 0.379 0.379 0.864
Fe 0.379 0.864 0.379
Fe 0.468 0.177 0.177
Fe 0.500 0.000 0.000
Fe 0.500 0.000 0.500
Fe 0.500 0.500 0.000
Fe 0.500 0.500 0.500
Fe 0.532 0.823 0.823
Fe 0.621 0.136 0.621
Fe 0.621 0.621 0.136
Fe 0.621 0.621 0.621
Fe 0.823 0.532 0.823
Fe 0.823 0.823 0.532
Fe 0.823 0.823 0.823
Fe 0.864 0.379 0.379
CELL_PARAMETERS angstrom
0.000 5.662 5.662
5.662 0.000 5.662
5.662 5.662 0.000
```

***

2.
This record from Alexandria describes a PBEsol-optimized structure of MgAgHg. The functional is SCAN. Values from VASP.

Symmetry: P3m1 (156)
DFT total energy, eV per cell: -105.0
E_form, eV per atom: -0.168
Polymorph energy (0 for the lowest one), meV/atom: 69

Cell and atoms, written as Quantum ESPRESSO input:
```
&SYSTEM
  ibrav = 0, nat = 3, ntyp = 3
/
ATOMIC_SPECIES
Mg 24.30 Mg.upf
Ag 107.87 Ag.upf
Hg 200.59 Hg.upf
ATOMIC_POSITIONS crystal
Mg 0.000 0.000 0.000
Ag 0.333 0.667 0.509
Hg 0.667 0.333 0.488
CELL_PARAMETERS angstrom
4.723 0.000 0.000
-2.361 4.090 0.000
0.000 0.000 3.038
```

***

3.
This record from Alexandria describes a PBEsol-optimized structure of TaMo2As. The functional is SCAN. Values from VASP.

Symmetry: Immm (71)
DFT total energy, eV per cell: -156.6
E_form, eV per atom: -0.020

Cell and atoms, written as Quantum ESPRESSO input:
```
&SYSTEM
  ibrav = 0, nat = 4, ntyp = 3
/
ATOMIC_SPECIES
Ta 180.95 Ta.upf
Mo 95.94 Mo.upf
As 74.92 As.upf
ATOMIC_POSITIONS crystal
Ta 0.000 0.000 0.000
Mo 0.248 0.748 0.500
Mo 0.752 0.252 0.500
As 0.500 0.500 0.000
CELL_PARAMETERS angstrom
-1.645 2.080 4.548
1.645 -2.080 4.548
1.645 2.080 -4.548
```

***

4.
This record from Alexandria describes a PBEsol-optimized structure of CaHfBe2Hg. The functional is SCAN. Values from VASP.

Symmetry: P4/mmm (123)
DFT total energy, eV per cell: -145.9
E_form, eV per atom: 0.660

Cell and atoms, written as Quantum ESPRESSO input:
```
&SYSTEM
  ibrav = 0, nat = 5, ntyp = 4
/
ATOMIC_SPECIES
Ca 40.08 Ca.upf
Hf 178.49 Hf.upf
Be 9.01 Be.upf
Hg 200.59 Hg.upf
ATOMIC_POSITIONS crystal
Ca 0.000 0.000 0.000
Hf 0.500 0.500 0.000
Be 0.000 0.500 0.500
Be 0.500 0.000 0.500
Hg 0.500 0.500 0.500
CELL_PARAMETERS angstrom
4.526 0.000 0.000
0.000 4.526 0.000
0.000 0.000 5.340
```

***

5.
This record from Alexandria describes a PBEsol-optimized structure of ZrSO. The functional is SCAN. Values from VASP.

Symmetry: P4/nmm (129)
DFT total energy, eV per cell: -109.9
Polymorph energy (0 for the lowest one), meV/atom: 28
Raw formation energy, eV/atom: -2.791

Cell and atoms, written as Quantum ESPRESSO input:
```
&SYSTEM
  ibrav = 0, nat = 6, ntyp = 3
/
ATOMIC_SPECIES
Zr 91.22 Zr.upf
S 32.06 S.upf
O 16.00 O.upf
ATOMIC_POSITIONS crystal
Zr 0.250 0.250 0.197
Zr 0.750 0.750 0.803
S 0.250 0.250 0.626
S 0.750 0.750 0.374
O 0.250 0.750 0.000
O 0.750 0.250 0.000
CELL_PARAMETERS angstrom
3.569 0.000 0.000
0.000 3.569 0.000
0.000 0.000 6.329
```

***

6.
This record from Alexandria describes a PBEsol-optimized structure of RbReOs2Br. The functional is SCAN. Values from VASP.

Symmetry: P4/mmm (123)
DFT total energy, eV per cell: -232.4
Raw formation energy, eV/atom: 4.541

Cell and atoms, written as Quantum ESPRESSO input:
```
&SYSTEM
  ibrav = 0, nat = 5, ntyp = 4
/
ATOMIC_SPECIES
Rb 85.47 Rb.upf
Re 186.21 Re.upf
Os 190.23 Os.upf
Br 79.90 Br.upf
ATOMIC_POSITIONS crystal
Rb 0.000 0.000 0.000
Re 0.000 0.000 0.500
Os 0.000 0.500 0.000
Os 0.500 0.000 0.000
Br 0.500 0.500 0.500
CELL_PARAMETERS angstrom
4.836 0.000 0.000
0.000 4.836 0.000
0.000 0.000 5.006
```

***

7.
This record from Alexandria describes a PBEsol-optimized structure of ReAs2Au. The functional is SCAN. Values from VASP.

Symmetry: Cm (8)
DFT total energy, eV per cell: -179.0
E_form, eV per atom: 0.405
Polymorph energy (0 for the lowest one), meV/atom: 0

Cell and atoms, written as Quantum ESPRESSO input:
```
&SYSTEM
  ibrav = 0, nat = 4, ntyp = 3
/
ATOMIC_SPECIES
Re 186.21 Re.upf
As 74.92 As.upf
Au 196.97 Au.upf
ATOMIC_POSITIONS crystal
Re 0.000 0.000 0.000
As 0.287 0.287 0.855
As 0.528 0.528 0.435
Au 0.778 0.778 0.349
CELL_PARAMETERS angstrom
4.745 -1.600 0.000
4.745 1.600 0.000
-0.912 0.000 4.428
```

***

8.
This record from Alexandria describes a PBEsol-optimized structure of RbDy2CuSe4. The functional is SCAN. Values from VASP.

Symmetry: Cmcm (63)
DFT total energy, eV per cell: -450.8
Raw formation energy, eV/atom: -1.696

Cell and atoms, written as Quantum ESPRESSO input:
```
&SYSTEM
  ibrav = 0, nat = 16, ntyp = 4
/
ATOMIC_SPECIES
Rb 85.47 Rb.upf
Dy 162.50 Dy.upf
Cu 63.55 Cu.upf
Se 78.96 Se.upf
ATOMIC_POSITIONS crystal
Rb 0.110 0.890 0.750
Rb 0.890 0.110 0.250
Dy 0.366 0.634 0.564
Dy 0.366 0.634 0.936
Dy 0.634 0.366 0.064
Dy 0.634 0.366 0.436
Cu 0.163 0.837 0.250
Cu 0.837 0.163 0.750
Se 0.000 0.000 0.000
Se 0.000 0.000 0.500
Se 0.263 0.737 0.110
Se 0.263 0.737 0.390
Se 0.431 0.569 0.750
Se 0.569 0.431 0.250
Se 0.737 0.263 0.610
Se 0.737 0.263 0.890
CELL_PARAMETERS angstrom
2.031 -7.039 0.000
2.031 7.039 0.000
0.000 0.000 14.156
```

***

9.
This record from Alexandria describes a PBEsol-optimized structure of MgTl. The functional is SCAN. Values from VASP.

Symmetry: Cmmm (65)
DFT total energy, eV per cell: -77.5
E_form, eV per atom: -0.064

Cell and atoms, written as Quantum ESPRESSO input:
```
&SYSTEM
  ibrav = 0, nat = 2, ntyp = 2
/
ATOMIC_SPECIES
Mg 24.30 Mg.upf
Tl 204.38 Tl.upf
ATOMIC_POSITIONS crystal
Mg 0.000 0.000 0.000
Tl 0.500 0.500 0.500
CELL_PARAMETERS angstrom
1.768 -2.849 0.000
1.768 2.849 0.000
0.000 0.000 4.926
```

***

10.
This record from Alexandria describes a PBEsol-optimized structure of Cd2In2Sn. The functional is SCAN. Values from VASP.

Symmetry: P4/mbm (127)
DFT total energy, eV per cell: -325.9
E_form, eV per atom: 0.115

Cell and atoms, written as Quantum ESPRESSO input:
```
&SYSTEM
  ibrav = 0, nat = 10, ntyp = 3
/
ATOMIC_SPECIES
Cd 112.41 Cd.upf
In 114.82 In.upf
Sn 118.71 Sn.upf
ATOMIC_POSITIONS crystal
Cd 0.120 0.380 0.000
Cd 0.380 0.880 0.000
Cd 0.620 0.120 0.000
Cd 0.880 0.620 0.000
In 0.179 0.679 0.500
In 0.321 0.179 0.500
In 0.679 0.821 0.500
In 0.821 0.321 0.500
Sn 0.000 0.000 0.500
Sn 0.500 0.500 0.500
CELL_PARAMETERS angstrom
8.816 0.000 0.000
0.000 8.816 0.000
0.000 0.000 3.141
```

***

11.
This record from Alexandria describes a PBEsol-optimized structure of CoSb2Rh. The functional is SCAN. Values from VASP.

Symmetry: I-42d (122)
DFT total energy, eV per cell: -250.5
Polymorph energy (0 for the lowest one), meV/atom: 38
Raw formation energy, eV/atom: 0.091

Cell and atoms, written as Quantum ESPRESSO input:
```
&SYSTEM
  ibrav = 0, nat = 8, ntyp = 3
/
ATOMIC_SPECIES
Co 58.93 Co.upf
Sb 121.76 Sb.upf
Rh 102.91 Rh.upf
ATOMIC_POSITIONS crystal
Co 0.000 0.000 0.000
Co 0.750 0.250 0.500
Sb 0.114 0.625 0.989
Sb 0.375 0.364 0.489
Sb 0.636 0.125 0.011
Sb 0.875 0.886 0.511
Rh 0.250 0.750 0.500
Rh 0.500 0.500 0.000
CELL_PARAMETERS angstrom
-2.173 2.173 8.028
2.173 -2.173 8.028
2.173 2.173 -8.028
```

***

12.
This record from Alexandria describes a PBEsol-optimized structure of Ag2Pt. The functional is SCAN. Values from VASP.

Symmetry: Pm (6)
DFT total energy, eV per cell: -531.3
E_form, eV per atom: 0.030
Polymorph energy (0 for the lowest one), meV/atom: 39

Cell and atoms, written as Quantum ESPRESSO input:
```
&SYSTEM
  ibrav = 0, nat = 12, ntyp = 2
/
ATOMIC_SPECIES
Ag 107.87 Ag.upf
Pt 195.08 Pt.upf
ATOMIC_POSITIONS crystal
Ag 0.000 0.000 0.000
Ag 0.000 0.000 0.499
Ag 0.000 0.500 0.748
Ag 0.334 0.000 0.331
Ag 0.335 0.500 0.584
Ag 0.662 0.500 0.916
Ag 0.663 0.000 0.663
Ag 0.666 0.000 0.165
Pt 0.002 0.500 0.250
Pt 0.328 0.500 0.082
Pt 0.332 0.000 0.837
Pt 0.668 0.500 0.408
CELL_PARAMETERS angstrom
6.268 0.000 0.000
0.000 4.052 0.000
-2.452 0.000 7.509
```

***

13.
This record from Alexandria describes a PBEsol-optimized structure of Te2IrS. The functional is SCAN. Values from VASP.

Symmetry: R-3m (166)
DFT total energy, eV per cell: -152.5
Raw formation energy, eV/atom: 0.683

Cell and atoms, written as Quantum ESPRESSO input:
```
&SYSTEM
  ibrav = 0, nat = 4, ntyp = 3
/
ATOMIC_SPECIES
Te 127.60 Te.upf
Ir 192.22 Ir.upf
S 32.06 S.upf
ATOMIC_POSITIONS crystal
Te 0.075 0.075 0.075
Te 0.925 0.925 0.925
Ir 0.000 0.000 0.000
S 0.500 0.500 0.500
CELL_PARAMETERS angstrom
1.487 0.858 11.322
-1.487 0.858 11.322
0.000 -1.716 11.322
```

***

14.
This record from Alexandria describes a PBEsol-optimized structure of Sc3In5. The functional is SCAN. Values from VASP.

Symmetry: Cmmm (65)
DFT total energy, eV per cell: -213.7
E_form, eV per atom: -0.503

Cell and atoms, written as Quantum ESPRESSO input:
```
&SYSTEM
  ibrav = 0, nat = 8, ntyp = 2
/
ATOMIC_SPECIES
Sc 44.96 Sc.upf
In 114.82 In.upf
ATOMIC_POSITIONS crystal
Sc 0.000 0.000 0.000
Sc 0.268 0.732 0.500
Sc 0.732 0.268 0.500
In 0.000 0.500 0.000
In 0.232 0.232 0.500
In 0.500 0.000 0.000
In 0.500 0.500 0.000
In 0.768 0.768 0.500
CELL_PARAMETERS angstrom
4.393 -4.442 0.000
4.393 4.442 0.000
0.000 0.000 4.450
```

***

15.
This record from Alexandria describes a PBEsol-optimized structure of Ta2Rh. The functional is SCAN. Values from VASP.

Symmetry: P4_2/mnm (136)
DFT total energy, eV per cell: -1680.3
E_form, eV per atom: -0.363

Cell and atoms, written as Quantum ESPRESSO input:
```
&SYSTEM
  ibrav = 0, nat = 30, ntyp = 2
/
ATOMIC_SPECIES
Ta 180.95 Ta.upf
Rh 102.91 Rh.upf
ATOMIC_POSITIONS crystal
Ta 0.062 0.270 0.000
Ta 0.104 0.104 0.500
Ta 0.183 0.817 0.253
Ta 0.183 0.817 0.747
Ta 0.230 0.562 0.500
Ta 0.270 0.062 0.000
Ta 0.317 0.317 0.247
Ta 0.317 0.317 0.753
Ta 0.396 0.604 0.000
Ta 0.438 0.770 0.500
Ta 0.562 0.230 0.500
Ta 0.604 0.396 0.000
Ta 0.683 0.683 0.247
Ta 0.683 0.683 0.753
Ta 0.730 0.938 0.000
Ta 0.770 0.438 0.500
Ta 0.817 0.183 0.253
Ta 0.817 0.183 0.747
Ta 0.896 0.896 0.500
Ta 0.938 0.730 0.000
Rh 0.000 0.000 0.000
Rh 0.037 0.360 0.500
Rh 0.140 0.537 0.000
Rh 0.360 0.037 0.500
Rh 0.463 0.860 0.000
Rh 0.500 0.500 0.500
Rh 0.537 0.140 0.000
Rh 0.640 0.963 0.500
Rh 0.860 0.463 0.000
Rh 0.963 0.640 0.500
CELL_PARAMETERS angstrom
9.779 0.000 0.000
0.000 9.779 0.000
0.000 0.000 5.156
```

***

16.
This record from Alexandria describes a PBEsol-optimized structure of Zn2CdAu2. The functional is SCAN. Values from VASP.

Symmetry: I4/mmm (139)
DFT total energy, eV per cell: -196.0
E_form, eV per atom: -0.051
Polymorph energy (0 for the lowest one), meV/atom: 191

Cell and atoms, written as Quantum ESPRESSO input:
```
&SYSTEM
  ibrav = 0, nat = 5, ntyp = 3
/
ATOMIC_SPECIES
Zn 65.41 Zn.upf
Cd 112.41 Cd.upf
Au 196.97 Au.upf
ATOMIC_POSITIONS crystal
Zn 0.099 0.099 0.000
Zn 0.901 0.901 0.000
Cd 0.500 0.500 0.000
Au 0.250 0.750 0.500
Au 0.750 0.250 0.500
CELL_PARAMETERS angstrom
-1.921 1.921 6.124
1.921 -1.921 6.124
1.921 1.921 -6.124
```

***

17.
This record from Alexandria describes a PBEsol-optimized structure of Na2Li2Ca. The functional is SCAN. Values from VASP.

Symmetry: P4/mbm (127)
DFT total energy, eV per cell: -45.0
E_form, eV per atom: 0.072

Cell and atoms, written as Quantum ESPRESSO input:
```
&SYSTEM
  ibrav = 0, nat = 10, ntyp = 3
/
ATOMIC_SPECIES
Na 22.99 Na.upf
Li 6.94 Li.upf
Ca 40.08 Ca.upf
ATOMIC_POSITIONS crystal
Na 0.126 0.374 0.000
Na 0.374 0.874 0.000
Na 0.626 0.126 0.000
Na 0.874 0.626 0.000
Li 0.175 0.675 0.500
Li 0.325 0.175 0.500
Li 0.675 0.825 0.500
Li 0.825 0.325 0.500
Ca 0.000 0.000 0.000
Ca 0.500 0.500 0.000
CELL_PARAMETERS angstrom
9.175 0.000 0.000
0.000 9.175 0.000
0.000 0.000 3.643
```

***

18.
This record from Alexandria describes a PBEsol-optimized structure of Ti5Sn3Au. The functional is SCAN. Values from VASP.

Symmetry: P6_3/mcm (193)
DFT total energy, eV per cell: -522.8
E_form, eV per atom: -0.482

Cell and atoms, written as Quantum ESPRESSO input:
```
&SYSTEM
  ibrav = 0, nat = 18, ntyp = 3
/
ATOMIC_SPECIES
Ti 47.87 Ti.upf
Sn 118.71 Sn.upf
Au 196.97 Au.upf
ATOMIC_POSITIONS crystal
Ti 0.000 0.283 0.250
Ti 0.000 0.717 0.750
Ti 0.283 0.000 0.250
Ti 0.283 0.283 0.750
Ti 0.333 0.667 0.000
Ti 0.333 0.667 0.500
Ti 0.667 0.333 0.000
Ti 0.667 0.333 0.500
Ti 0.717 0.000 0.750
Ti 0.717 0.717 0.250
Sn 0.000 0.381 0.750
Sn 0.000 0.619 0.250
Sn 0.381 0.000 0.750
Sn 0.381 0.381 0.250
Sn 0.619 0.000 0.250
Sn 0.619 0.619 0.750
Au 0.000 0.000 0.000
Au 0.000 0.000 0.500
CELL_PARAMETERS angstrom
8.207 0.000 0.000
-4.104 7.108 0.000
0.000 0.000 5.550
```

***

19.
This record from Alexandria describes a PBEsol-optimized structure of BaCa2Ru. The functional is SCAN. Values from VASP.

Symmetry: Fm-3m (225)
DFT total energy, eV per cell: -91.8
E_form, eV per atom: 0.481

Cell and atoms, written as Quantum ESPRESSO input:
```
&SYSTEM
  ibrav = 0, nat = 4, ntyp = 3
/
ATOMIC_SPECIES
Ba 137.33 Ba.upf
Ca 40.08 Ca.upf
Ru 101.07 Ru.upf
ATOMIC_POSITIONS crystal
Ba 0.000 0.000 0.000
Ca 0.250 0.250 0.250
Ca 0.750 0.750 0.750
Ru 0.500 0.500 0.500
CELL_PARAMETERS angstrom
0.000 3.769 3.769
3.769 0.000 3.769
3.769 3.769 0.000
```

***

20.
This record from Alexandria describes a PBEsol-optimized structure of Cd3Cu. The functional is SCAN. Values from VASP.

Symmetry: Pmm2 (25)
DFT total energy, eV per cell: -106.1
E_form, eV per atom: 0.081

Cell and atoms, written as Quantum ESPRESSO input:
```
&SYSTEM
  ibrav = 0, nat = 4, ntyp = 2
/
ATOMIC_SPECIES
Cd 112.41 Cd.upf
Cu 63.55 Cu.upf
ATOMIC_POSITIONS crystal
Cd 0.000 0.000 0.000
Cd 0.000 0.500 0.345
Cd 0.500 0.000 0.526
Cu 0.500 0.500 0.849
CELL_PARAMETERS angstrom
3.073 0.000 0.000
0.000 4.581 0.000
0.000 0.000 5.104
```